The following is a PBE calculation of crystalline TlBiH at its relaxed geometry, from Alexandria.

a b c (Å): 5.008 8.501 5.580
angles (deg): 130.06 115.16 91.68
Atoms (fractional coordinates):
Bi  0.393  0.193  0.889
Bi  0.590  0.015  0.294
H  0.030  0.669  0.160
H  0.953  0.540  0.023
Tl  0.219  0.426  0.552
Tl  0.764  0.782  0.631

## Properties
* V: 148 Å³ per cell
* crystal system: triclinic
* VASP energy: -3.16 eV per atom
* polymorph energy (0 for the lowest one): 0 meV/atom
* size of the total moment: 0.00 μB per cell